DFT (PBE+U) results for a geometry-optimized Ni2PO4 structure.

Computed properties:
symmetry	I4_1/amd, No. 141
crystal system	tetragonal
DFT total energy	-81.44	eV for the cell shown

```
data_Ni2PO4
_chemical_formula_sum 'Ni4 P2 O8'
_space_group_name_H-M_alt 'P 1'
_space_group_IT_number 1
_cell_length_a 6.782
_cell_length_b 6.782
_cell_length_c 6.782
_cell_angle_alpha 133.40
_cell_angle_beta 133.40
_cell_angle_gamma 68.02
loop_
_space_group_symop_operation_xyz
'x,y,z'
loop_
_atom_site_label
_atom_site_type_symbol
_atom_site_fract_x
_atom_site_fract_y
_atom_site_fract_z
Ni1 Ni 0.000 0.000 0.000
Ni2 Ni 0.000 0.000 0.500
Ni3 Ni 0.000 0.500 0.000
Ni4 Ni 0.500 0.000 0.500
P1 P 0.375 0.625 0.750
P2 P 0.625 0.375 0.250
O1 O 0.208 0.700 0.508
O2 O 0.300 0.308 0.508
O3 O 0.300 0.792 0.992
O4 O 0.308 0.300 0.008
O5 O 0.692 0.700 0.992
O6 O 0.700 0.208 0.008
O7 O 0.700 0.692 0.492
O8 O 0.792 0.300 0.492
```